# 1
# NdPtI

A relaxed structure of NdPtI (GGA-PBE, Alexandria).

abc: 7.337 7.337 7.337
angles: 147.82 123.49 66.53
Atoms (fractional coordinates):
Nd 0.177 0.177 0.000
Nd 0.823 0.823 0.000
Pt 0.331 0.831 0.500
Pt 0.669 0.169 0.500
I 0.251 0.500 0.751
I 0.749 0.500 0.249

- total magnetization (μB per atom) = 0.000
- volume (Å³/cell) = 173.34
- calculated density (g cm⁻³) = 8.93
- total DFT energy (no corrections) (Ry/atom) = -0.360
- formation energy (no corrections) (eV per atom) = -0.781

=====

# 2
# BaYCuTe3

A relaxed structure of BaYCuTe3 (GGA-PBE, Alexandria).

abc: 7.826 7.826 11.454
angles: 90.00 90.00 146.99
Atoms (fractional coordinates):
Ba 0.249 0.751 0.750
Ba 0.751 0.249 0.250
Y 0.000 0.000 0.000
Y 0.000 0.000 0.500
Cu 0.468 0.532 0.250
Cu 0.532 0.468 0.750
Te 0.070 0.930 0.250
Te 0.364 0.636 0.061
Te 0.364 0.636 0.439
Te 0.636 0.364 0.561
Te 0.636 0.364 0.939
Te 0.930 0.070 0.750

- total magnetization (μB per atom) = 0.000
- volume (Å³/cell) = 382.23
- calculated density (g cm⁻³) = 5.84
- total DFT energy (no corrections) (Ry/atom) = -0.360
- formation energy (no corrections) (eV per atom) = -1.252

=====

# 3
# V4PdC

A relaxed structure of V4PdC (GGA-PBE, Alexandria).

abc: 5.660 5.660 2.781
angles: 90.00 90.00 96.03
Atoms (fractional coordinates):
V 0.179 0.179 0.500
V 0.238 0.762 0.000
V 0.762 0.238 0.000
V 0.821 0.821 0.500
Pd 0.500 0.500 0.500
C 0.000 0.000 0.000

- total magnetization (μB per atom) = 0.000
- volume (Å³/cell) = 88.61
- calculated density (g cm⁻³) = 6.04
- total DFT energy (no corrections) (Ry/atom) = -0.603
- DFT formation energy (meV/atom) = 274

=====

# 4
# Zr2Ag2Se

A relaxed structure of Zr2Ag2Se (GGA-PBE, Alexandria).

abc: 6.984 6.984 4.497
angles: 90.00 90.00 90.00
Atoms (fractional coordinates):
Zr 0.159 0.341 0.000
Zr 0.341 0.841 0.000
Zr 0.659 0.159 0.000
Zr 0.841 0.659 0.000
Ag 0.139 0.639 0.500
Ag 0.361 0.139 0.500
Ag 0.639 0.861 0.500
Ag 0.861 0.361 0.500
Se 0.000 0.000 0.000
Se 0.500 0.500 0.000

- total magnetization (μB per atom) = 0.000
- volume (Å³/cell) = 219.33
- calculated density (g cm⁻³) = 7.22
- total DFT energy (no corrections) (Ry/atom) = -0.408
- formation energy (no corrections) (eV per atom) = -0.295